[1]
Computed, not measured: a geometry-optimized Pu3Pa2Ga structure at the PBE level of DFT.

Energy relative to the elements: 15 meV/atom
DOS(E_F): 2.8437 states/eV/atom
Distance to the lowest polymorph of the same formula: 0.055 eV per atom
SG: C2/c (15)
Energy: -10.821 eV/atom

Cell lengths 6.131, 6.131, 7.755 Å; angles 100.52, 100.52, 96.93 degrees
Positions (direct):
Pu (0.114, 0.886, 0.750)
Pu (0.145, 0.327, 0.977)
Pu (0.327, 0.145, 0.477)
Pu (0.673, 0.855, 0.523)
Pu (0.855, 0.673, 0.023)
Pu (0.886, 0.114, 0.250)
Pa (0.127, 0.603, 0.372)
Pa (0.397, 0.873, 0.128)
Pa (0.603, 0.127, 0.872)
Pa (0.873, 0.397, 0.628)
Ga (0.432, 0.568, 0.750)
Ga (0.568, 0.432, 0.250)

---

[2]
Computed, not measured: a geometry-optimized Pu4PaGa3 structure at the PBE level of DFT.

Energy relative to the elements: -200 meV/atom
DOS(E_F): 3.1490 states/eV/atom
SG: Pmmm (47)
Energy: -9.688 eV/atom

Cell lengths 4.208, 4.557, 9.186 Å; angles 90.00, 90.00, 90.00 degrees
Positions (direct):
Pu (0.000, 0.000, 0.000)
Pu (0.000, 0.000, 0.500)
Pu (0.000, 0.500, 0.239)
Pu (0.000, 0.500, 0.761)
Pa (0.500, 0.500, 0.500)
Ga (0.500, 0.000, 0.257)
Ga (0.500, 0.000, 0.743)
Ga (0.500, 0.500, 0.000)

---

[3]
Computed, not measured: a geometry-optimized PuPaGa2 structure at the PBE level of DFT.

Energy relative to the elements: -263 meV/atom
DOS(E_F): 2.0309 states/eV/atom
Distance to the lowest polymorph of the same formula: 0.033 eV per atom
SG: P4/mmm (123)
Energy: -7.734 eV/atom

Cell lengths 3.947, 3.947, 5.648 Å; angles 90.00, 90.00, 90.00 degrees
Positions (direct):
Pu (0.000, 0.000, 0.000)
Pa (0.000, 0.000, 0.500)
Ga (0.500, 0.500, 0.247)
Ga (0.500, 0.500, 0.753)

---

[4]
Computed, not measured: a geometry-optimized Pu4Pa2Ga3 structure at the PBE level of DFT.

Energy relative to the elements: -236 meV/atom
DOS(E_F): 1.8742 states/eV/atom
SG: P-1 (2)
Energy: -9.725 eV/atom

Cell lengths 5.149, 5.281, 8.242 Å; angles 76.60, 84.03, 63.14 degrees
Positions (direct):
Pu (0.159, 0.167, 0.468)
Pu (0.334, 0.024, 0.194)
Pu (0.666, 0.976, 0.806)
Pu (0.841, 0.833, 0.532)
Pa (0.346, 0.669, 0.847)
Pa (0.654, 0.331, 0.153)
Ga (0.011, 0.316, 0.831)
Ga (0.500, 0.500, 0.500)
Ga (0.989, 0.684, 0.169)

---

[5]
Computed, not measured: a geometry-optimized Pu2Pa6Ga structure at the PBE level of DFT.

Energy relative to the elements: 84 meV/atom
DOS(E_F): 2.0408 states/eV/atom
SG: C2/c (15)
Energy: -9.768 eV/atom

Cell lengths 8.189, 8.189, 7.183 Å; angles 109.42, 109.42, 78.28 degrees
Positions (direct):
Pu (0.153, 0.320, 0.082)
Pu (0.320, 0.153, 0.582)
Pu (0.680, 0.847, 0.418)
Pu (0.847, 0.680, 0.918)
Pa (0.027, 0.218, 0.663)
Pa (0.117, 0.643, 0.806)
Pa (0.218, 0.027, 0.163)
Pa (0.315, 0.435, 0.478)
Pa (0.357, 0.883, 0.694)
Pa (0.435, 0.315, 0.978)
Pa (0.565, 0.685, 0.022)
Pa (0.643, 0.117, 0.306)
Pa (0.685, 0.565, 0.522)
Pa (0.782, 0.973, 0.837)
Pa (0.883, 0.357, 0.194)
Pa (0.973, 0.782, 0.337)
Ga (0.324, 0.676, 0.250)
Ga (0.676, 0.324, 0.750)

---

[6]
Computed, not measured: a geometry-optimized Pu2Pa2Ga structure at the PBE level of DFT.

Energy relative to the elements: 180 meV/atom
DOS(E_F): 2.3157 states/eV/atom
Distance to the lowest polymorph of the same formula: 0.105 eV per atom
SG: P6_3/mmc (194)
Energy: -9.957 eV/atom

Cell lengths 5.010, 5.010, 11.530 Å; angles 90.00, 90.00, 120.00 degrees
Positions (direct):
Pu (0.333, 0.667, 0.098)
Pu (0.333, 0.667, 0.402)
Pu (0.667, 0.333, 0.598)
Pu (0.667, 0.333, 0.902)
Pa (0.000, 0.000, 0.000)
Pa (0.000, 0.000, 0.500)
Pa (0.333, 0.667, 0.750)
Pa (0.667, 0.333, 0.250)
Ga (0.000, 0.000, 0.250)
Ga (0.000, 0.000, 0.750)

---

[7]
Computed, not measured: a geometry-optimized Pu6Pa4Ga7 structure at the PBE level of DFT.

Energy relative to the elements: 81 meV/atom
DOS(E_F): 2.8902 states/eV/atom
SG: Im-3m (229)
Energy: -8.458 eV/atom

Cell lengths 8.036, 8.036, 8.036 Å; angles 109.47, 109.47, 109.47 degrees
Positions (direct):
Pu (0.000, 0.304, 0.304)
Pu (0.000, 0.696, 0.696)
Pu (0.304, 0.000, 0.304)
Pu (0.304, 0.304, 0.000)
Pu (0.696, 0.000, 0.696)
Pu (0.696, 0.696, 0.000)
Pa (0.000, 0.000, 0.500)
Pa (0.000, 0.500, 0.000)
Pa (0.500, 0.000, 0.000)
Pa (0.500, 0.500, 0.500)
Ga (0.000, 0.000, 0.000)
Ga (0.250, 0.500, 0.750)
Ga (0.250, 0.750, 0.500)
Ga (0.500, 0.250, 0.750)
Ga (0.500, 0.750, 0.250)
Ga (0.750, 0.250, 0.500)
Ga (0.750, 0.500, 0.250)

---

[8]
Computed, not measured: a geometry-optimized Pu5Pa2Ga3 structure at the PBE level of DFT.

Energy relative to the elements: -117 meV/atom
DOS(E_F): 2.1689 states/eV/atom
SG: P-1 (2)
Energy: -10.090 eV/atom

Cell lengths 7.954, 7.997, 8.064 Å; angles 63.82, 86.93, 74.87 degrees
Positions (direct):
Pu (0.087, 0.267, 0.207)
Pu (0.197, 0.958, 0.053)
Pu (0.285, 0.600, 0.175)
Pu (0.297, 0.610, 0.867)
Pu (0.299, 0.717, 0.511)
Pu (0.701, 0.283, 0.489)
Pu (0.703, 0.390, 0.133)
Pu (0.715, 0.400, 0.825)
Pu (0.803, 0.042, 0.947)
Pu (0.913, 0.733, 0.793)
Pa (0.029, 0.410, 0.716)
Pa (0.500, 0.154, 0.209)
Pa (0.500, 0.846, 0.791)
Pa (0.971, 0.590, 0.284)
Ga (0.095, 0.041, 0.647)
Ga (0.316, 0.256, 0.508)
Ga (0.424, 0.253, 0.804)
Ga (0.576, 0.747, 0.196)
Ga (0.684, 0.744, 0.492)
Ga (0.905, 0.959, 0.353)

---

[9]
Computed, not measured: a geometry-optimized PuPa4Ga structure at the PBE level of DFT.

Energy relative to the elements: -69 meV/atom
DOS(E_F): 1.9325 states/eV/atom
SG: C2/c (15)
Energy: -9.293 eV/atom

Cell lengths 5.478, 5.478, 11.029 Å; angles 104.25, 104.25, 60.55 degrees
Positions (direct):
Pu (0.000, 0.500, 0.000)
Pu (0.500, 0.000, 0.500)
Pa (0.160, 0.678, 0.501)
Pa (0.254, 0.414, 0.751)
Pa (0.322, 0.840, 0.999)
Pa (0.414, 0.254, 0.251)
Pa (0.586, 0.746, 0.749)
Pa (0.678, 0.160, 0.001)
Pa (0.746, 0.586, 0.249)
Pa (0.840, 0.322, 0.499)
Ga (0.082, 0.918, 0.250)
Ga (0.918, 0.082, 0.750)

---

[10]
Computed, not measured: a geometry-optimized Pu2PaGa9 structure at the PBE level of DFT.

Energy relative to the elements: -377 meV/atom
DOS(E_F): 1.7687 states/eV/atom
SG: P4/mmm (123)
Energy: -5.827 eV/atom

Cell lengths 4.292, 4.292, 12.837 Å; angles 90.00, 90.00, 90.00 degrees
Positions (direct):
Pu (0.000, 0.000, 0.166)
Pu (0.000, 0.000, 0.834)
Pa (0.000, 0.000, 0.500)
Ga (0.000, 0.500, 0.000)
Ga (0.000, 0.500, 0.331)
Ga (0.000, 0.500, 0.669)
Ga (0.500, 0.000, 0.000)
Ga (0.500, 0.000, 0.331)
Ga (0.500, 0.000, 0.669)
Ga (0.500, 0.500, 0.166)
Ga (0.500, 0.500, 0.500)
Ga (0.500, 0.500, 0.834)

---

[11]
Computed, not measured: a geometry-optimized PuPa2Ga7 structure at the PBE level of DFT.

Energy relative to the elements: 45 meV/atom
DOS(E_F): 1.5814 states/eV/atom
SG: I4/mmm (139)
Energy: -5.406 eV/atom

Cell lengths 10.633, 10.633, 10.633 Å; angles 153.95, 153.95, 37.17 degrees
Positions (direct):
Pu (0.000, 0.000, 0.000)
Pa (0.334, 0.334, 0.000)
Pa (0.666, 0.666, 0.000)
Ga (0.086, 0.586, 0.500)
Ga (0.250, 0.750, 0.500)
Ga (0.414, 0.914, 0.500)
Ga (0.500, 0.500, 0.000)
Ga (0.586, 0.086, 0.500)
Ga (0.750, 0.250, 0.500)
Ga (0.914, 0.414, 0.500)

---

[12]
Computed, not measured: a geometry-optimized PuPaGa2 structure at the PBE level of DFT.

Energy relative to the elements: -186 meV/atom
DOS(E_F): 1.8439 states/eV/atom
Distance to the lowest polymorph of the same formula: 0.110 eV per atom
SG: Fm-3m (225)
Energy: -7.657 eV/atom

Cell lengths 7.095, 7.095, 7.095 Å; angles 90.00, 90.00, 90.00 degrees
Positions (direct):
Pu (0.000, 0.000, 0.000)
Pu (0.000, 0.500, 0.500)
Pu (0.500, 0.000, 0.500)
Pu (0.500, 0.500, 0.000)
Pa (0.000, 0.000, 0.500)
Pa (0.000, 0.500, 0.000)
Pa (0.500, 0.000, 0.000)
Pa (0.500, 0.500, 0.500)
Ga (0.250, 0.250, 0.250)
Ga (0.250, 0.250, 0.750)
Ga (0.250, 0.750, 0.250)
Ga (0.250, 0.750, 0.750)
Ga (0.750, 0.250, 0.250)
Ga (0.750, 0.250, 0.750)
Ga (0.750, 0.750, 0.250)
Ga (0.750, 0.750, 0.750)

---

DOS(E_F) of number 2 (Pu4PaGa3)?
3.1490 states/eV/atom